! ZnGaAsPb2, relaxed, DFT PBE; values from VASP
&SYSTEM
  ibrav = 0, nat = 5, ntyp = 4
/
ATOMIC_SPECIES
Zn 65.41 Zn.upf
Ga 69.72 Ga.upf
As 74.92 As.upf
Pb 207.20 Pb.upf
ATOMIC_POSITIONS crystal
Zn 0.000 0.000 0.000
Ga 0.500 0.500 0.000
As 0.000 0.000 0.500
Pb 0.000 0.500 0.500
Pb 0.500 0.000 0.500
CELL_PARAMETERS angstrom
5.858 0.000 0.000
0.000 5.858 0.000
0.000 0.000 4.542
! Calculated formation energy ... 0.407 eV/atom
! Crystal system ... tetragonal
! Symmetry ... No. 123
! V ... 31.2 Å³ per atom

***

! Ga2AsPd, relaxed, DFT PBE; values from VASP
&SYSTEM
  ibrav = 0, nat = 8, ntyp = 3
/
ATOMIC_SPECIES
Ga 69.72 Ga.upf
As 74.92 As.upf
Pd 106.42 Pd.upf
ATOMIC_POSITIONS crystal
Ga 0.121 0.625 0.996
Ga 0.375 0.371 0.496
Ga 0.629 0.125 0.004
Ga 0.875 0.879 0.504
As 0.250 0.750 0.500
As 0.500 0.500 0.000
Pd 0.000 0.000 0.000
Pd 0.750 0.250 0.500
CELL_PARAMETERS angstrom
-2.966 2.966 5.337
2.966 -2.966 5.337
2.966 2.966 -5.337
! Calculated formation energy ... -0.074 eV/atom
! Crystal system ... tetragonal
! Symmetry ... No. 122
! V ... 23.5 Å³ per atom

***

! GaAsPd2, relaxed, DFT PBE; values from VASP
&SYSTEM
  ibrav = 0, nat = 8, ntyp = 3
/
ATOMIC_SPECIES
Ga 69.72 Ga.upf
As 74.92 As.upf
Pd 106.42 Pd.upf
ATOMIC_POSITIONS crystal
Ga 0.000 0.000 0.000
Ga 0.750 0.250 0.500
As 0.250 0.750 0.500
As 0.500 0.500 0.000
Pd 0.135 0.625 0.010
Pd 0.375 0.385 0.510
Pd 0.615 0.125 0.990
Pd 0.875 0.865 0.490
CELL_PARAMETERS angstrom
-2.044 2.044 8.364
2.044 -2.044 8.364
2.044 2.044 -8.364
! Calculated formation energy ... -0.298 eV/atom
! Crystal system ... tetragonal
! Symmetry ... No. 122
! V ... 17.5 Å³ per atom

***

! GaAs3Pd, relaxed, DFT PBE; values from VASP
&SYSTEM
  ibrav = 0, nat = 5, ntyp = 3
/
ATOMIC_SPECIES
Ga 69.72 Ga.upf
As 74.92 As.upf
Pd 106.42 Pd.upf
ATOMIC_POSITIONS crystal
Ga 0.000 0.000 0.000
As 0.000 0.500 0.500
As 0.500 0.000 0.500
As 0.500 0.500 0.000
Pd 0.500 0.500 0.500
CELL_PARAMETERS angstrom
4.928 0.000 0.000
0.000 4.928 0.000
0.000 0.000 4.928
! Calculated formation energy ... 0.558 eV/atom
! Crystal system ... cubic
! Symmetry ... No. 221
! V ... 23.9 Å³ per atom

***

! GaAsPd2, relaxed, DFT PBE; values from VASP
&SYSTEM
  ibrav = 0, nat = 4, ntyp = 3
/
ATOMIC_SPECIES
Ga 69.72 Ga.upf
As 74.92 As.upf
Pd 106.42 Pd.upf
ATOMIC_POSITIONS crystal
Ga 0.000 0.000 0.000
As 0.182 0.182 0.182
Pd 0.409 0.409 0.409
Pd 0.604 0.604 0.604
CELL_PARAMETERS angstrom
2.034 1.174 4.863
-2.034 1.174 4.863
0.000 -2.348 4.863
! Calculated formation energy ... -0.314 eV/atom
! Crystal system ... trigonal
! Symmetry ... No. 160
! V ... 17.4 Å³ per atom

***

! GaAsPd2, relaxed, DFT PBE; values from VASP
&SYSTEM
  ibrav = 0, nat = 16, ntyp = 3
/
ATOMIC_SPECIES
Ga 69.72 Ga.upf
As 74.92 As.upf
Pd 106.42 Pd.upf
ATOMIC_POSITIONS crystal
Ga 0.123 0.086 0.189
Ga 0.123 0.414 0.689
Ga 0.877 0.586 0.311
Ga 0.877 0.914 0.811
As 0.365 0.573 0.315
As 0.365 0.927 0.815
As 0.635 0.073 0.185
As 0.635 0.427 0.685
Pd 0.127 0.688 0.006
Pd 0.127 0.812 0.506
Pd 0.381 0.193 0.495
Pd 0.381 0.307 0.995
Pd 0.619 0.693 0.005
Pd 0.619 0.807 0.505
Pd 0.873 0.188 0.494
Pd 0.873 0.312 0.994
CELL_PARAMETERS angstrom
7.235 0.000 0.000
0.000 6.335 0.000
-0.016 0.000 5.833
! Calculated formation energy ... -0.491 eV/atom
! Crystal system ... monoclinic
! Symmetry ... No. 14
! V ... 16.7 Å³ per atom

***

! GaAs2Pd2, relaxed, DFT PBE; values from VASP
&SYSTEM
  ibrav = 0, nat = 5, ntyp = 3
/
ATOMIC_SPECIES
Ga 69.72 Ga.upf
As 74.92 As.upf
Pd 106.42 Pd.upf
ATOMIC_POSITIONS crystal
Ga 0.000 0.000 0.000
As 0.250 0.750 0.500
As 0.750 0.250 0.500
Pd 0.396 0.396 0.000
Pd 0.604 0.604 0.000
CELL_PARAMETERS angstrom
-1.898 1.898 6.435
1.898 -1.898 6.435
1.898 1.898 -6.435
! Calculated formation energy ... -0.036 eV/atom
! Crystal system ... tetragonal
! Symmetry ... No. 139
! V ... 18.6 Å³ per atom

***

! Ga2AsPd4, relaxed, DFT PBE; values from VASP
&SYSTEM
  ibrav = 0, nat = 7, ntyp = 3
/
ATOMIC_SPECIES
Ga 69.72 Ga.upf
As 74.92 As.upf
Pd 106.42 Pd.upf
ATOMIC_POSITIONS crystal
Ga 0.123 0.123 0.000
Ga 0.877 0.877 0.000
As 0.500 0.500 0.000
Pd 0.000 0.500 0.500
Pd 0.309 0.309 0.000
Pd 0.500 0.000 0.500
Pd 0.691 0.691 0.000
CELL_PARAMETERS angstrom
-2.326 2.326 6.428
2.326 -2.326 6.428
2.326 2.326 -6.428
! Calculated formation energy ... 0.021 eV/atom
! Crystal system ... tetragonal
! Symmetry ... No. 139
! V ... 19.9 Å³ per atom

***

! GaAsPd14, relaxed, DFT PBE; values from VASP
&SYSTEM
  ibrav = 0, nat = 16, ntyp = 3
/
ATOMIC_SPECIES
Ga 69.72 Ga.upf
As 74.92 As.upf
Pd 106.42 Pd.upf
ATOMIC_POSITIONS crystal
Ga 0.000 0.000 0.000
As 0.000 0.490 0.490
Pd 0.000 0.013 0.510
Pd 0.000 0.510 0.013
Pd 0.230 0.304 0.795
Pd 0.230 0.795 0.304
Pd 0.253 0.804 0.804
Pd 0.256 0.297 0.297
Pd 0.500 0.111 0.111
Pd 0.500 0.119 0.616
Pd 0.500 0.616 0.119
Pd 0.500 0.616 0.616
Pd 0.744 0.297 0.297
Pd 0.747 0.804 0.804
Pd 0.770 0.304 0.795
Pd 0.770 0.795 0.304
CELL_PARAMETERS angstrom
9.010 0.000 0.000
0.000 2.913 4.693
0.000 -2.913 4.693
! Calculated formation energy ... -0.154 eV/atom
! Crystal system ... orthorhombic
! Symmetry ... No. 38
! V ... 15.4 Å³ per atom

***

! Ga3AsPd, relaxed, DFT PBE; values from VASP
&SYSTEM
  ibrav = 0, nat = 5, ntyp = 3
/
ATOMIC_SPECIES
Ga 69.72 Ga.upf
As 74.92 As.upf
Pd 106.42 Pd.upf
ATOMIC_POSITIONS crystal
Ga 0.000 0.000 0.500
Ga 0.000 0.500 0.000
Ga 0.500 0.000 0.000
As 0.000 0.000 0.000
Pd 0.500 0.500 0.500
CELL_PARAMETERS angstrom
4.924 0.000 0.000
0.000 4.924 0.000
0.000 0.000 4.924
! Calculated formation energy ... 0.523 eV/atom
! Crystal system ... cubic
! Symmetry ... No. 221
! V ... 23.9 Å³ per atom

***

! Ga5As2Pd12, relaxed, DFT PBE; values from VASP
&SYSTEM
  ibrav = 0, nat = 19, ntyp = 3
/
ATOMIC_SPECIES
Ga 69.72 Ga.upf
As 74.92 As.upf
Pd 106.42 Pd.upf
ATOMIC_POSITIONS crystal
Ga 0.000 0.000 0.000
Ga 0.235 0.235 0.054
Ga 0.277 0.277 0.663
Ga 0.723 0.723 0.337
Ga 0.765 0.765 0.946
As 0.255 0.745 0.500
As 0.745 0.255 0.500
Pd 0.084 0.084 0.712
Pd 0.117 0.502 0.370
Pd 0.171 0.590 0.982
Pd 0.410 0.829 0.018
Pd 0.473 0.473 0.721
Pd 0.498 0.883 0.630
Pd 0.502 0.117 0.370
Pd 0.527 0.527 0.279
Pd 0.590 0.171 0.982
Pd 0.829 0.410 0.018
Pd 0.883 0.498 0.630
Pd 0.916 0.916 0.288
CELL_PARAMETERS angstrom
6.706 -3.793 0.000
6.706 3.793 0.000
-2.011 0.000 6.301
! Calculated formation energy ... -0.429 eV/atom
! Crystal system ... monoclinic
! Symmetry ... No. 12
! V ... 16.9 Å³ per atom

***

! Ga3As2Pd8, relaxed, DFT PBE; values from VASP
&SYSTEM
  ibrav = 0, nat = 13, ntyp = 3
/
ATOMIC_SPECIES
Ga 69.72 Ga.upf
As 74.92 As.upf
Pd 106.42 Pd.upf
ATOMIC_POSITIONS crystal
Ga 0.000 0.000 0.000
Ga 0.238 0.762 0.500
Ga 0.762 0.238 0.500
As 0.271 0.271 0.759
As 0.729 0.729 0.241
Pd 0.102 0.606 0.121
Pd 0.134 0.134 0.384
Pd 0.394 0.898 0.879
Pd 0.441 0.441 0.779
Pd 0.559 0.559 0.221
Pd 0.606 0.102 0.121
Pd 0.866 0.866 0.616
Pd 0.898 0.394 0.879
CELL_PARAMETERS angstrom
7.216 -2.815 0.000
7.216 2.815 0.000
-1.394 0.000 5.469
! Calculated formation energy ... -0.373 eV/atom
! Crystal system ... monoclinic
! Symmetry ... No. 12
! V ... 17.1 Å³ per atom

***

! GaAsPd5, relaxed, DFT PBE; values from VASP
&SYSTEM
  ibrav = 0, nat = 14, ntyp = 3
/
ATOMIC_SPECIES
Ga 69.72 Ga.upf
As 74.92 As.upf
Pd 106.42 Pd.upf
ATOMIC_POSITIONS crystal
Ga 0.234 0.766 0.750
Ga 0.766 0.234 0.250
As 0.000 0.500 0.000
As 0.500 0.000 0.500
Pd 0.023 0.398 0.652
Pd 0.064 0.936 0.250
Pd 0.362 0.374 0.518
Pd 0.374 0.362 0.018
Pd 0.398 0.023 0.152
Pd 0.602 0.977 0.848
Pd 0.626 0.638 0.982
Pd 0.638 0.626 0.482
Pd 0.936 0.064 0.750
Pd 0.977 0.602 0.348
CELL_PARAMETERS angstrom
4.855 -4.217 0.000
4.855 4.217 0.000
-4.655 0.000 6.080
! Calculated formation energy ... -0.187 eV/atom
! Crystal system ... monoclinic
! Symmetry ... No. 15
! V ... 17.8 Å³ per atom

***

! GaAsPd2, relaxed, DFT PBE; values from VASP
&SYSTEM
  ibrav = 0, nat = 4, ntyp = 3
/
ATOMIC_SPECIES
Ga 69.72 Ga.upf
As 74.92 As.upf
Pd 106.42 Pd.upf
ATOMIC_POSITIONS crystal
Ga 0.000 0.000 0.000
As 0.500 0.500 0.000
Pd 0.000 0.500 0.500
Pd 0.500 0.000 0.500
CELL_PARAMETERS angstrom
4.486 0.000 0.000
0.000 4.486 0.000
0.000 0.000 3.149
! Calculated formation energy ... -0.351 eV/atom
! Crystal system ... tetragonal
! Symmetry ... No. 123
! V ... 15.8 Å³ per atom

***

! Ga2AsPd2, relaxed, DFT PBE; values from VASP
&SYSTEM
  ibrav = 0, nat = 10, ntyp = 3
/
ATOMIC_SPECIES
Ga 69.72 Ga.upf
As 74.92 As.upf
Pd 106.42 Pd.upf
ATOMIC_POSITIONS crystal
Ga 0.155 0.345 0.000
Ga 0.345 0.845 0.000
Ga 0.655 0.155 0.000
Ga 0.845 0.655 0.000
As 0.000 0.000 0.500
As 0.500 0.500 0.500
Pd 0.143 0.643 0.500
Pd 0.357 0.143 0.500
Pd 0.643 0.857 0.500
Pd 0.857 0.357 0.500
CELL_PARAMETERS angstrom
7.500 0.000 0.000
0.000 7.500 0.000
0.000 0.000 2.911
! Calculated formation energy ... -0.362 eV/atom
! Crystal system ... tetragonal
! Symmetry ... No. 127
! V ... 16.4 Å³ per atom

***

! GaAs3Pd, relaxed, DFT PBE; values from VASP
&SYSTEM
  ibrav = 0, nat = 5, ntyp = 3
/
ATOMIC_SPECIES
Ga 69.72 Ga.upf
As 74.92 As.upf
Pd 106.42 Pd.upf
ATOMIC_POSITIONS crystal
Ga 0.000 0.000 0.000
As 0.000 0.000 0.500
As 0.000 0.500 0.000
As 0.500 0.000 0.000
Pd 0.500 0.500 0.500
CELL_PARAMETERS angstrom
4.831 0.000 0.000
0.000 4.831 0.000
0.000 0.000 4.831
! Calculated formation energy ... 0.829 eV/atom
! Crystal system ... cubic
! Symmetry ... No. 221
! V ... 22.5 Å³ per atom

***

! GaAsPd2, relaxed, DFT PBE; values from VASP
&SYSTEM
  ibrav = 0, nat = 4, ntyp = 3
/
ATOMIC_SPECIES
Ga 69.72 Ga.upf
As 74.92 As.upf
Pd 106.42 Pd.upf
ATOMIC_POSITIONS crystal
Ga 0.000 0.000 0.000
As 0.500 0.500 0.500
Pd 0.250 0.250 0.250
Pd 0.750 0.750 0.750
CELL_PARAMETERS angstrom
0.000 3.169 3.169
3.169 0.000 3.169
3.169 3.169 0.000
! Calculated formation energy ... -0.310 eV/atom
! Crystal system ... cubic
! Symmetry ... No. 225
! V ... 15.9 Å³ per atom

***

! Ga2AsPd4, relaxed, DFT PBE; values from VASP
&SYSTEM
  ibrav = 0, nat = 14, ntyp = 3
/
ATOMIC_SPECIES
Ga 69.72 Ga.upf
As 74.92 As.upf
Pd 106.42 Pd.upf
ATOMIC_POSITIONS crystal
Ga 0.124 0.876 0.601
Ga 0.124 0.876 0.899
Ga 0.876 0.124 0.101
Ga 0.876 0.124 0.399
As 0.348 0.652 0.750
As 0.652 0.348 0.250
Pd 0.022 0.978 0.250
Pd 0.234 0.766 0.107
Pd 0.234 0.766 0.393
Pd 0.500 0.500 0.000
Pd 0.500 0.500 0.500
Pd 0.766 0.234 0.607
Pd 0.766 0.234 0.893
Pd 0.978 0.022 0.750
CELL_PARAMETERS angstrom
1.750 -6.881 0.000
1.750 6.881 0.000
0.000 0.000 9.905
! Calculated formation energy ... -0.374 eV/atom
! Crystal system ... orthorhombic
! Symmetry ... No. 63
! V ... 17.0 Å³ per atom

***

! GaAs2Pd4, relaxed, DFT PBE; values from VASP
&SYSTEM
  ibrav = 0, nat = 14, ntyp = 3
/
ATOMIC_SPECIES
Ga 69.72 Ga.upf
As 74.92 As.upf
Pd 106.42 Pd.upf
ATOMIC_POSITIONS crystal
Ga 0.171 0.829 0.750
Ga 0.829 0.171 0.250
As 0.369 0.631 0.607
As 0.369 0.631 0.893
As 0.631 0.369 0.107
As 0.631 0.369 0.393
Pd 0.000 0.000 0.000
Pd 0.000 0.000 0.500
Pd 0.308 0.692 0.089
Pd 0.308 0.692 0.411
Pd 0.496 0.504 0.250
Pd 0.504 0.496 0.750
Pd 0.692 0.308 0.589
Pd 0.692 0.308 0.911
CELL_PARAMETERS angstrom
1.533 -6.068 0.000
1.533 6.068 0.000
0.000 0.000 12.704
! Calculated formation energy ... -0.331 eV/atom
! Crystal system ... orthorhombic
! Symmetry ... No. 63
! V ... 16.9 Å³ per atom

***

! Ga2AsPd6, relaxed, DFT PBE; values from VASP
&SYSTEM
  ibrav = 0, nat = 9, ntyp = 3
/
ATOMIC_SPECIES
Ga 69.72 Ga.upf
As 74.92 As.upf
Pd 106.42 Pd.upf
ATOMIC_POSITIONS crystal
Ga 0.333 0.667 0.000
Ga 0.667 0.333 0.000
As 0.000 0.000 0.500
Pd 0.000 0.397 0.500
Pd 0.000 0.735 0.000
Pd 0.265 0.265 0.000
Pd 0.397 0.000 0.500
Pd 0.603 0.603 0.500
Pd 0.735 0.000 0.000
CELL_PARAMETERS angstrom
6.784 0.000 0.000
-3.392 5.875 0.000
0.000 0.000 3.493
! Calculated formation energy ... -0.556 eV/atom
! Crystal system ... hexagonal
! Symmetry ... No. 189
! V ... 15.5 Å³ per atom

***

! GaAs2Pd2, relaxed, DFT PBE; values from VASP
&SYSTEM
  ibrav = 0, nat = 10, ntyp = 3
/
ATOMIC_SPECIES
Ga 69.72 Ga.upf
As 74.92 As.upf
Pd 106.42 Pd.upf
ATOMIC_POSITIONS crystal
Ga 0.000 0.000 0.000
Ga 0.500 0.500 0.000
As 0.144 0.356 0.500
As 0.356 0.856 0.500
As 0.644 0.144 0.500
As 0.856 0.644 0.500
Pd 0.150 0.650 0.000
Pd 0.350 0.150 0.000
Pd 0.650 0.850 0.000
Pd 0.850 0.350 0.000
CELL_PARAMETERS angstrom
7.798 0.000 0.000
0.000 7.798 0.000
0.000 0.000 2.907
! Calculated formation energy ... -0.139 eV/atom
! Crystal system ... tetragonal
! Symmetry ... No. 127
! V ... 17.7 Å³ per atom

***

! GaAs2Pd, relaxed, DFT PBE; values from VASP
&SYSTEM
  ibrav = 0, nat = 8, ntyp = 3
/
ATOMIC_SPECIES
Ga 69.72 Ga.upf
As 74.92 As.upf
Pd 106.42 Pd.upf
ATOMIC_POSITIONS crystal
Ga 0.000 0.000 0.000
Ga 0.750 0.250 0.500
As 0.138 0.625 0.013
As 0.375 0.388 0.513
As 0.612 0.125 0.987
As 0.875 0.862 0.487
Pd 0.250 0.750 0.500
Pd 0.500 0.500 0.000
CELL_PARAMETERS angstrom
-2.774 2.774 6.027
2.774 -2.774 6.027
2.774 2.774 -6.027
! Calculated formation energy ... -0.115 eV/atom
! Crystal system ... tetragonal
! Symmetry ... No. 122
! V ... 23.2 Å³ per atom

***

! GaAs2Pd7, relaxed, DFT PBE; values from VASP
&SYSTEM
  ibrav = 0, nat = 10, ntyp = 3
/
ATOMIC_SPECIES
Ga 69.72 Ga.upf
As 74.92 As.upf
Pd 106.42 Pd.upf
ATOMIC_POSITIONS crystal
Ga 0.000 0.000 0.000
As 0.330 0.330 0.000
As 0.670 0.670 0.000
Pd 0.095 0.595 0.500
Pd 0.250 0.750 0.500
Pd 0.405 0.905 0.500
Pd 0.500 0.500 0.000
Pd 0.595 0.095 0.500
Pd 0.750 0.250 0.500
Pd 0.905 0.405 0.500
CELL_PARAMETERS angstrom
-1.999 1.999 10.200
1.999 -1.999 10.200
1.999 1.999 -10.200
! Calculated formation energy ... -0.422 eV/atom
! Crystal system ... tetragonal
! Symmetry ... No. 139
! V ... 16.3 Å³ per atom